# NaSnICl2, optimized geometry, DFT GGA-PBE
data_NaSnICl2
_chemical_formula_sum 'Na2 Sn2 I2 Cl4'
_symmetry_space_group_name_H-M 'P 1 21/m 1'
_symmetry_Int_Tables_number 11
_symmetry_space_group_name_Hall '-P 2yb'
_cell_length_a 8.328
_cell_length_b 4.623
_cell_length_c 9.389
_cell_angle_alpha 90.00
_cell_angle_beta 91.27
_cell_angle_gamma 90.00
loop_
_atom_site_label
_atom_site_type_symbol
_atom_site_fract_x
_atom_site_fract_y
_atom_site_fract_z
Na1 Na 0.044 0.250 0.326
Sn1 Sn 0.316 0.250 0.865
I1 I 0.409 0.250 0.209
Cl1 Cl 0.127 0.250 0.618
Cl2 Cl 0.139 0.750 0.927
# **Formation energy (no corrections)**: -1.13 eV/atom
# **Calculated volume**: 181 Å³/f.u.
# **Spin magnetization**: 0.00 μB/f.u.
# **E**: -3.24 eV/atom